Record 1
First-principles (PBE) data for a geometry-optimized PrY6Ho5 structure, as listed in Alexandria via LeMat-Bulk.

The space group is C2/m (No. 12) and the conventional cell measures 6.1738, 10.6809 and 11.8139 Å, with angles of 90.00, 99.97 and 90.00 degrees. The inequivalent atoms are Pr at (0.0000, 0.0000, 0.0000), Y at (0.2489, 0.3329, 0.7483), Y at (0.2503, 0.0000, 0.7484), Ho at (0.0000, 0.1670, 0.5000), Ho at (0.0000, 0.3333, 0.0000) and Ho at (0.0000, 0.5000, 0.5000).

The calculation puts the calculated formation energy at 2.1 kJ/mol of atoms.

=====

Record 2
First-principles (PBE) data for a geometry-optimized CeHoIn6 structure, as listed in Alexandria via LeMat-Bulk.

The space group is P4/mmm (No. 123) and the conventional cell measures 4.6742, 4.6742 and 9.3193 Å, with angles of 90.00, 90.00 and 90.00 degrees. The inequivalent atoms are Ce at (0.0000, 0.0000, 0.0000), Ho at (0.0000, 0.0000, 0.5000), In at (0.0000, 0.5000, 0.2535), In at (0.5000, 0.5000, 0.0000) and In at (0.5000, 0.5000, 0.5000).

Its energy relative to the lowest polymorph listed for this composition is 0.000 eV per formula unit. The calculation puts the calculated formation energy at -39.5 kJ/mol of atoms.

=====

Record 3
First-principles (PBE) data for a geometry-optimized Ba3Ca2Zn2Ga4 structure, as listed in Alexandria via LeMat-Bulk.

The space group is P-3m1 (No. 164) and the conventional cell measures 4.4715, 4.4715 and 20.8489 Å, with angles of 90.00, 90.00 and 120.00 degrees. The inequivalent atoms are Ba at (0.0000, 0.0000, 0.0000), Ba at (0.0000, 0.0000, 0.2441), Ca at (0.3333, 0.6667, 0.5650), Zn at (0.3333, 0.6667, 0.1238), Ga at (0.3333, 0.6667, 0.3588) and Ga at (0.3333, 0.6667, 0.8786).

The calculation puts the calculated formation energy at -20.8 kJ/mol of atoms.

=====

Record 4
First-principles (PBE) data for a geometry-optimized Rb2CaCr structure, as listed in Alexandria via LeMat-Bulk.

The space group is I-42d (No. 122) and the conventional cell measures 11.2869, 11.2869 and 6.8512 Å, with angles of 90.00, 90.00 and 90.00 degrees. The inequivalent atoms are Rb at (0.1773, 0.2500, 0.1250), Ca at (0.0000, 0.0000, 0.5000) and Cr at (0.0000, 0.0000, 0.0000).

Its energy relative to the lowest polymorph listed for this composition is 0.000 eV per formula unit. The calculation puts the calculated formation energy at 78.9 kJ/mol of atoms.

=====

Record 5
First-principles (PBE) data for a geometry-optimized AcTbCu structure, as listed in Alexandria via LeMat-Bulk.

The space group is P-6m2 (No. 187) and the conventional cell measures 4.6849, 4.6849 and 4.8176 Å, with angles of 90.00, 90.00 and 120.00 degrees. The inequivalent atoms are Ac at (0.0000, 0.0000, 0.0000), Tb at (0.6667, 0.3333, 0.5000) and Cu at (0.3333, 0.6667, 0.5000).

Its energy relative to the lowest polymorph listed for this composition is 0.343 eV per formula unit. The calculation puts the calculated formation energy at 5.5 kJ/mol of atoms.

=====

Record 6
First-principles (PBE) data for a geometry-optimized Cr2CoAs2 structure, as listed in Alexandria via LeMat-Bulk.

The space group is P4/mbm (No. 127) and the conventional cell measures 6.4660, 6.4660 and 3.3715 Å, with angles of 90.00, 90.00 and 90.00 degrees. The inequivalent atoms are Cr at (0.1477, 0.3523, 0.0000), Co at (0.0000, 0.0000, 0.5000) and As at (0.1542, 0.6542, 0.5000).

The calculation puts the calculated formation energy at 9.6 kJ/mol of atoms.

=====

Record 7
First-principles (PBE) data for a geometry-optimized Tm2TlSe structure, as listed in Alexandria via LeMat-Bulk.

The space group is P4/mmm (No. 123) and the conventional cell measures 3.4816, 3.4816 and 7.9639 Å, with angles of 90.00, 90.00 and 90.00 degrees. The inequivalent atoms are Tm at (0.0000, 0.0000, 0.2260), Tl at (0.5000, 0.5000, 0.5000) and Se at (0.5000, 0.5000, 0.0000).

Its energy relative to the lowest polymorph listed for this composition is 0.760 eV per formula unit. The calculation puts the formation energy (no corrections) at -0.803 eV/atom.

=====

Record 8
First-principles (PBE) data for a geometry-optimized Ba2LaSc structure, as listed in Alexandria via LeMat-Bulk.

The space group is I-4m2 (No. 119) and the conventional cell measures 5.6816, 5.6816 and 10.2787 Å, with angles of 90.00, 90.00 and 90.00 degrees. The inequivalent atoms are Ba at (0.0000, 0.0000, 0.0000), Ba at (0.0000, 0.5000, 0.2500), La at (0.0000, 0.5000, 0.7500) and Sc at (0.0000, 0.0000, 0.5000).

Its energy relative to the lowest polymorph listed for this composition is 0.662 eV per formula unit. The calculation puts the calculated formation energy at 32.1 kJ/mol of atoms.

=====

Number 1: Fermi-level density of states 1.408 states/eV per atom, calculated density 6.49 g/cm3, size of the total moment 0.00 μB/f.u.. Number 2: Fermi-level density of states 0.933 states/eV per atom, calculated density 8.11 g/cm3, size of the total moment 0.73 μB/f.u.. Number 3: Fermi-level density of states 0.995 states/eV per atom, calculated density 4.15 g/cm3, size of the total moment 0.00 μB/f.u.. Number 4: Fermi-level density of states 0.822 states/eV per atom, calculated density 2.00 g/cm3, size of the total moment 5.49 μB/f.u.. Number 5: Fermi-level density of states 1.006 states/eV per atom, calculated density 8.15 g/cm3, size of the total moment 0.00 μB/f.u.. Number 6: Fermi-level density of states 0.807 states/eV per atom, calculated density 7.37 g/cm3, size of the total moment 5.86 μB/f.u.. Number 7: Fermi-level density of states 0.821 states/eV per atom, calculated density 10.69 g/cm3, size of the total moment 0.00 μB/f.u.. Number 8: Fermi-level density of states 1.958 states/eV per atom, calculated density 4.59 g/cm3, size of the total moment 0.00 μB/f.u..